Record 1
Compound: BiC2Se
Source: Alexandria
Functional: PBE-GGA
Structure: relaxed

Computed properties:
**Uncorrected formation energy**: 7.388 eV/f.u.
**Distance to the lowest polymorph of the same formula**: 0 meV/atom
**Volume**: 144.8 Å³ per cell
**DFT total energy**: -4.61 eV per atom

```
8
Lattice="4.927 0.000 0.000 0.000 4.927 0.000 2.463 2.463 5.964" Properties=species:S:1:pos:R:3 pbc="T T T"
C 3.483 1.232 1.491
C 1.443 3.695 1.491
C 3.695 3.907 4.473
C 6.158 5.947 4.473
Bi 0.000 0.000 0.000
Bi 4.927 2.463 2.982
Se 2.463 2.463 0.000
Se 2.463 4.927 2.982
```

=====

Record 2
Compound: HRh3
Source: Alexandria
Functional: PBE-GGA
Structure: relaxed

Computed properties:
**Distance to the lowest polymorph of the same formula**: 83 meV/atom
**Volume**: 47.7 Å³ per cell
**DFT total energy**: -6.13 eV per atom

```
4
Lattice="2.718 0.000 0.000 0.000 2.718 0.000 0.000 0.000 6.461" Properties=species:S:1:pos:R:3 pbc="T T T"
H 0.000 0.000 0.538
Rh 0.000 1.359 2.845
Rh 1.359 1.359 0.539
Rh 1.359 0.000 4.694
```

=====

Record 3
Compound: Ca2CeCu9
Source: Alexandria
Functional: PBE-GGA
Structure: relaxed

Computed properties:
**Volume**: 197.0 Å³ per cell
**DFT total energy**: -4.01 eV per atom
**DFT formation energy**: -0.11 eV per atom

```
12
Lattice="-0.800 -5.130 -0.334 0.752 -2.461 -4.522 8.005 -3.916 0.470" Properties=species:S:1:pos:R:3 pbc="T T T"
Ca 3.395 -8.186 -3.960
Ca 4.563 -3.322 -0.426
Ce 0.000 0.000 0.000
Cu 7.936 -8.971 -2.777
Cu 0.022 -2.537 -1.609
Cu 3.979 -5.754 -2.193
Cu 1.925 -4.148 -1.930
Cu 1.531 -6.682 -2.095
Cu 2.297 -5.364 -4.164
Cu 6.033 -7.360 -2.455
Cu 5.661 -6.144 -0.222
Cu 6.428 -4.826 -2.291
```

=====

Record 4
Compound: ZrCuN3
Source: Alexandria
Functional: PBE-GGA
Structure: relaxed

Computed properties:
**Uncorrected formation energy**: 3.346 eV/f.u.
**Volume**: 50.6 Å³ per cell
**DFT total energy**: -6.85 eV per atom

```
5
Lattice="3.698 0.000 0.000 0.000 3.698 0.000 0.000 0.000 3.698" Properties=species:S:1:pos:R:3 pbc="T T T"
Cu 0.000 0.000 0.000
Zr 1.849 1.849 1.849
N 0.000 1.849 0.000
N 0.000 0.000 1.849
N 1.849 0.000 0.000
```

=====

Record 5
Compound: ErMg2AgAu4
Source: Alexandria
Functional: PBE-GGA
Structure: relaxed

Computed properties:
**Volume**: 155.1 Å³ per cell
**DFT total energy**: -3.52 eV per atom
**DFT formation energy**: -0.55 eV per atom

```
8
Lattice="-2.524 0.315 4.040 -4.769 0.128 -0.169 -2.658 -7.692 1.760" Properties=species:S:1:pos:R:3 pbc="T T T"
Er 0.000 0.000 0.000
Mg -7.460 -5.299 4.215
Mg -2.492 -1.949 1.416
Ag -4.976 -3.624 2.816
Au -5.059 -6.489 2.987
Au -7.378 -2.460 4.045
Au -2.574 -4.788 1.586
Au -4.893 -0.759 2.644
```

=====

Record 6
Compound: Li2GeIr
Source: Alexandria
Functional: PBE-GGA
Structure: relaxed

Computed properties:
**Volume**: 220.6 Å³ per cell
**DFT total energy**: -4.67 eV per atom
**DFT formation energy**: -0.34 eV per atom

```
16
Lattice="-4.971 -1.110 -0.174 0.382 -0.935 -4.974 1.766 -8.173 1.672" Properties=species:S:1:pos:R:3 pbc="T T T"
Li -3.623 -1.107 -1.364
Li -1.686 -9.665 -2.196
Li -0.065 -5.108 -2.931
Li -0.272 -4.556 -0.461
Li 0.800 -9.111 -2.112
Li -1.137 -0.553 -1.280
Li -2.758 -5.110 -0.545
Li -2.551 -5.662 -3.015
Ge 0.459 -2.093 0.155
Ge -0.948 -7.201 -1.582
Ge -3.282 -8.125 -3.631
Ge -1.876 -3.017 -1.893
Ir -1.685 -3.483 -4.371
Ir -3.474 -7.656 -1.135
Ir -1.138 -6.735 0.895
Ir 0.651 -2.562 -2.341
```

=====

Record 7
Compound: Ba6HgPd
Source: Alexandria
Functional: PBE-GGA
Structure: relaxed

Computed properties:
**Volume**: 871.0 Å³ per cell
**DFT total energy**: -2.40 eV per atom
**DFT formation energy**: -0.28 eV per atom

```
16
Lattice="8.056 0.000 0.000 -4.028 6.977 0.000 0.000 0.000 15.497" Properties=species:S:1:pos:R:3 pbc="T T T"
Ba 1.351 2.214 5.888
Ba 2.677 4.763 9.608
Ba 5.269 4.700 5.888
Ba 2.593 0.064 1.860
Ba -1.241 2.277 9.608
Ba 1.435 6.913 13.636
Ba 5.463 0.064 5.888
Ba 6.705 2.214 1.860
Ba -1.435 6.913 9.608
Ba -2.677 4.763 13.636
Ba 2.787 4.700 1.860
Ba 1.241 2.277 13.636
Hg 0.000 4.651 3.874
Hg 4.028 2.326 11.622
Pd 0.000 0.000 7.748
Pd 0.000 0.000 0.000
```

=====

Record 8
Compound: LiFe2W
Source: Alexandria
Functional: PBE-GGA
Structure: relaxed

Computed properties:
**Volume**: 54.9 Å³ per cell
**DFT total energy**: -7.67 eV per atom
**DFT formation energy**: 0.28 eV per atom

```
4
Lattice="2.613 0.001 0.000 -0.832 2.477 0.000 0.000 0.000 8.481" Properties=species:S:1:pos:R:3 pbc="T T T"
Fe 0.000 0.000 8.442
Fe 0.000 0.000 4.279
Li 0.891 1.239 2.120
W 0.891 1.239 6.361
```

=====

Record 9
Compound: Na2PtBr5
Source: Alexandria
Functional: PBE-GGA
Structure: relaxed

Computed properties:
**Uncorrected formation energy**: -7.096 eV/f.u.
**Volume**: 505.8 Å³ per cell
**DFT total energy**: -3.02 eV per atom

```
16
Lattice="-2.944 4.633 -1.395 -1.360 -2.227 6.973 9.710 7.458 4.276" Properties=species:S:1:pos:R:3 pbc="T T T"
Na 0.744 5.525 5.280
Na -2.600 2.957 3.808
Na 4.662 4.340 4.573
Na 8.005 6.908 6.046
Pt 4.025 7.967 6.465
Pt 1.380 1.898 3.389
Br 4.609 8.993 8.640
Br 1.997 6.987 7.489
Br 1.993 2.948 5.583
Br -0.681 0.894 4.405
Br -0.119 4.215 2.751
Br 5.524 5.649 7.103
Br 3.412 6.917 4.271
Br 6.087 8.971 5.449
Br 0.796 0.872 1.214
Br 3.408 2.878 2.365
```

=====

Record 10
Compound: Zr2SnO4
Source: Alexandria
Functional: PBE-GGA
Structure: relaxed

Computed properties:
**Uncorrected formation energy**: -9.398 eV/f.u.
**Volume**: 100.9 Å³ per cell
**DFT total energy**: -7.19 eV per atom

```
7
Lattice="3.971 0.000 0.000 0.000 3.971 0.000 1.985 1.985 6.396" Properties=species:S:1:pos:R:3 pbc="T T T"
O 3.971 3.971 2.065
O 1.985 1.985 4.331
O 0.000 1.985 0.000
O 1.985 0.000 0.000
Sn 0.000 0.000 0.000
Zr 3.971 3.971 4.056
Zr 1.985 1.985 2.340
```

=====

Record 11
Compound: HfZnH2
Source: Alexandria
Functional: PBE-GGA
Structure: relaxed

Computed properties:
**Distance to the lowest polymorph of the same formula**: 0 meV/atom
**Volume**: 88.9 Å³ per cell
**DFT total energy**: -4.50 eV per atom

```
8
Lattice="4.259 0.000 0.000 0.000 4.259 0.000 2.129 2.129 4.903" Properties=species:S:1:pos:R:3 pbc="T T T"
H 3.207 1.065 1.226
H 1.052 3.194 1.226
H 3.194 3.182 3.678
H 5.324 5.336 3.678
Zn 2.129 2.129 0.000
Zn 2.129 4.259 2.452
Hf 0.000 0.000 0.000
Hf 4.259 2.129 2.452
```

=====

Record 12
Compound: Tb3Pm4Nd3
Source: Alexandria
Functional: PBE-GGA
Structure: relaxed

Computed properties:
**Volume**: 344.1 Å³ per cell
**DFT total energy**: -4.61 eV per atom
**DFT formation energy**: 0.11 eV per atom

```
10
Lattice="-0.014 -0.015 3.802 9.509 -0.273 0.034 0.217 9.511 0.038" Properties=species:S:1:pos:R:3 pbc="T T T"
Tb 4.937 9.357 0.055
Tb 0.128 4.789 0.019
Tb 1.798 7.832 1.938
Pm 6.067 3.351 0.035
Pm 3.649 5.897 0.036
Pm 8.489 8.032 0.062
Pm 1.267 1.174 0.009
Nd 7.918 1.388 1.936
Nd 3.191 3.037 1.925
Nd 6.514 6.193 1.949
```